# 1
VASP calculation (PBE-GGA) on an optimized crystal structure of DyErHgPd.

Lattice parameters (Å, degrees): 3.566 3.566 7.341 90.00 90.00 90.00
Sites, in units of the cell vectors:
1 Hg 0.000 0.000 0.853
2 Er 0.500 0.500 0.586
3 Dy 0.500 0.500 0.127
4 Pd 0.000 0.000 0.362

## Properties
- Symmetry: P4mm (99)
- Total magnetization: 0.00 μB/f.u.
- Distance to the lowest polymorph of the same formula: 0.000 eV per atom
- Energy of formation: -0.696 eV per atom
- Crystal system: tetragonal

=====

# 2
VASP calculation (PBE-GGA) on an optimized crystal structure of CsMgTlBi2.

Lattice parameters (Å, degrees): 5.167 5.167 7.929 109.01 109.01 90.00
Sites, in units of the cell vectors:
1 Bi 0.624 0.624 0.248
2 Bi 0.376 0.376 0.752
3 Mg 0.750 0.250 0.500
4 Tl 0.250 0.750 0.500
5 Cs 0.000 0.000 0.000

## Properties
- Symmetry: I-4m2 (119)
- Total magnetization: 0.00 μB/f.u.
- Energy of formation: -0.249 eV per atom
- Crystal system: tetragonal

=====

# 3
VASP calculation (PBE-GGA) on an optimized crystal structure of Mg2Sc2Pd7.

Lattice parameters (Å, degrees): 5.591 7.378 5.591 76.37 115.59 103.63
Sites, in units of the cell vectors:
1 Pd 0.534 0.815 0.466
2 Pd 0.000 0.000 0.000
3 Pd 0.466 0.185 0.534
4 Pd 0.993 0.306 0.569
5 Pd 0.569 0.694 0.993
6 Pd 0.007 0.694 0.431
7 Pd 0.431 0.306 0.007
8 Mg 0.748 0.500 0.748
9 Mg 0.252 0.500 0.252
10 Sc 0.766 0.085 0.234
11 Sc 0.234 0.915 0.766

## Properties
- Symmetry: C2/m (12)
- Total magnetization: 0.00 μB/f.u.
- Energy of formation: -0.424 eV per atom
- Crystal system: monoclinic